## Dy3Tm4S8 (PBE-GGA)

Data for crystalline Dy3Tm4S8 at its relaxed geometry.

## Properties
Total moment in μB/atom: 0.0000
Raw total energy in eV/atom: -6.345
Density of states at the Fermi level in states/eV/cell: 12.1
E_form (uncorrected) in eV per atom: -2.031

Cell: 10.9280 10.9313 7.7220 Å, 90.00 134.92 90.00°
Space group C2/m (No. 12)
Symmetry-distinct sites (fractional):
Dy 0.0000 0.0000 0.0000 (multiplicity 2)
Dy 0.2500 0.2500 0.0000 (multiplicity 4)
Tm 0.0000 0.5000 0.0000 (multiplicity 2)
Tm 0.0000 0.5000 0.5000 (multiplicity 2)
Tm 0.2500 0.2500 0.5000 (multiplicity 4)
S 0.0000 0.2504 0.5000 (multiplicity 4)
S 0.0000 0.2519 0.0000 (multiplicity 4)
S 0.2475 0.5000 0.9988 (multiplicity 4)
S 0.2479 0.5000 0.4962 (multiplicity 4)